Record 1
ReHgAs2 | Alexandria via LeMat-Bulk | PBE | relaxed; symmetry = P4/mmm (123); volume = 17.824 Å³ per atom; VASP energy = -4.68 eV/atom
1.0
4.659 0.000 0.000
0.000 4.659 0.000
0.000 0.000 3.285
As Re Hg
2 1 1
Cartesian
0.000 0.000 0.000
2.329 2.329 0.000
0.000 2.329 1.642
2.329 0.000 1.642


Record 2
CaHo2Pb9 | Alexandria via LeMat-Bulk | PBE | relaxed; symmetry = P4/mmm (123); volume = 29.271 Å³ per atom; VASP energy = -4.00 eV/atom
1.0
-1.546 0.505 -4.664
-0.333 -4.910 -0.422
-13.638 0.530 4.579
Pb Ho Ca
9 2 1
Cartesian
-11.494 -2.015 3.592
-7.592 0.518 -0.043
-0.939 -2.202 -2.543
-2.477 -2.365 0.565
-5.500 -2.025 -1.012
-10.017 -1.849 0.504
-12.100 0.693 1.471
-3.084 0.343 -1.556
-6.985 -2.190 2.078
-9.027 0.351 3.030
-4.611 0.179 1.548
0.000 0.000 0.000


| no. | formation enthalpy at 0 K (meV per atom) |
| --- | --- |
| 1 | 836 |
| 2 | -284 |